Below is an optimized crystal structure of Cd2PtPb, with properties calculated at the GGA-PBE level.

The calculated formation energy comes out at -0.17 eV/atom. Its space-group type is P2_1/m, No. 11.

```
8
Lattice="4.1125 0.0000 0.0000 0.0000 8.6479 0.0000 -1.9884 0.0000 5.1339" Properties=species:S:1:pos:R:3 pbc="T T T"
Cd 0.0223 0.4064 1.4643
Cd 0.0223 3.9176 1.4643
Cd 2.1019 4.7303 3.6696
Cd 2.1019 8.2415 3.6696
Pt 0.0429 6.4859 2.7627
Pt 2.0812 2.1620 2.3712
Pb 0.0429 2.1620 4.5173
Pb 2.0813 6.4859 0.6166
```

=====

Below is an optimized crystal structure of BaAuCl, with properties calculated at the GGA-PBE level.

For the relative energy among the computed polymorphs, the calculation gives 1.06 eV/f.u. Its space-group type is F-43m, No. 216. For the uncorrected formation energy, the calculation gives -1220 meV per atom.

```
3
Lattice="0.0000 3.7012 3.7012 3.7012 0.0000 3.7012 3.7012 3.7012 0.0000" Properties=species:S:1:pos:R:3 pbc="T T T"
Ba 0.0000 0.0000 0.0000
Au 3.7012 3.7012 3.7012
Cl 5.5518 5.5518 5.5518
```

=====

Number 1: density of states at the Fermi level 1.40 states/eV/f.u., calculated total energy -3.0694 eV/atom. Number 2: density of states at the Fermi level 0.00 states/eV/f.u., calculated total energy -3.5690 eV/atom.